# Na4Pm3ScO8

A relaxed structure of Na4Pm3ScO8 (GGA-PBE, the Alexandria database).

Cell and atoms, written as extended XYZ:
```
16
Lattice="3.469 2.003 5.599 -3.469 2.003 5.599 0.000 -4.005 5.599" Properties=species:S:1:pos:R:3 pbc="T T T"
Na 0.000 0.000 0.000
Na -1.734 -1.001 5.599
Na -1.734 1.001 11.199
Na 0.000 2.003 5.599
Pm -3.469 0.000 8.399
Pm -1.734 1.001 2.800
Pm 1.734 1.001 2.800
Sc 0.000 0.000 8.399
O 0.000 0.000 4.021
O -1.633 -0.943 9.575
O 0.000 -1.886 7.223
O -1.633 0.943 7.223
O 1.633 -0.943 9.575
O 0.000 1.886 9.575
O 1.633 0.943 7.223
O 0.000 0.000 12.777
```

Computed properties:
E_form (uncorrected): -2.6647 eV/atom
volume: 14.6 A^3/atom
crystal system: trigonal